Record 1
Below is Ni3Ir after structural relaxation, with properties calculated at the PBE level.

```
data_Ni3Ir
_chemical_formula_sum 'Ni3 Ir1'
_symmetry_space_group_name_H-M 'P 1'
_symmetry_Int_Tables_number 1
_cell_length_a 3.615
_cell_length_b 3.615
_cell_length_c 3.615
_cell_angle_alpha 90.00
_cell_angle_beta 90.00
_cell_angle_gamma 90.00
loop_
_symmetry_equiv_pos_as_xyz
'x,y,z'
loop_
_atom_site_label
_atom_site_type_symbol
_atom_site_fract_x
_atom_site_fract_y
_atom_site_fract_z
Ni1 Ni 0.000 0.500 0.500
Ni2 Ni 0.500 0.000 0.500
Ni3 Ni 0.500 0.500 0.000
Ir1 Ir 0.000 0.000 0.000
```

energy relative to the elements = 0.038 eV/atom

Record 2
Below is Ba3In8Hg3 after structural relaxation, with properties calculated at the PBE level.

```
data_Ba3In8Hg3
_chemical_formula_sum 'Ba3 In8 Hg3'
_symmetry_space_group_name_H-M 'P 1'
_symmetry_Int_Tables_number 1
_cell_length_a 5.080
_cell_length_b 9.689
_cell_length_c 9.689
_cell_angle_alpha 71.85
_cell_angle_beta 74.80
_cell_angle_gamma 74.80
loop_
_symmetry_equiv_pos_as_xyz
'x,y,z'
loop_
_atom_site_label
_atom_site_type_symbol
_atom_site_fract_x
_atom_site_fract_y
_atom_site_fract_z
Ba1 Ba 0.500 0.500 0.500
Ba2 Ba 0.817 0.183 0.183
Ba3 Ba 0.183 0.817 0.817
In1 In 0.646 0.080 0.628
In2 In 0.354 0.920 0.372
In3 In 0.646 0.628 0.080
In4 In 0.354 0.372 0.920
In5 In 0.838 0.793 0.531
In6 In 0.162 0.207 0.469
In7 In 0.838 0.531 0.793
In8 In 0.162 0.469 0.207
Hg1 Hg 0.500 0.000 0.000
Hg2 Hg 0.000 0.802 0.198
Hg3 Hg 0.000 0.198 0.802
```

energy relative to the elements = -0.352 eV/atom
E above lowest polymorph = 0.005 eV per atom

Record 3
Below is Lu2ThBi after structural relaxation, with properties calculated at the PBE level.

```
data_Lu2ThBi
_chemical_formula_sum 'Lu2 Th1 Bi1'
_symmetry_space_group_name_H-M 'P 1'
_symmetry_Int_Tables_number 1
_cell_length_a 4.744
_cell_length_b 4.922
_cell_length_c 4.922
_cell_angle_alpha 90.00
_cell_angle_beta 90.00
_cell_angle_gamma 90.00
loop_
_symmetry_equiv_pos_as_xyz
'x,y,z'
loop_
_atom_site_label
_atom_site_type_symbol
_atom_site_fract_x
_atom_site_fract_y
_atom_site_fract_z
Lu1 Lu 0.000 0.000 0.500
Lu2 Lu 0.000 0.500 0.000
Bi1 Bi 0.500 0.500 0.500
Th1 Th 0.500 0.000 0.000
```

energy relative to the elements = -0.258 eV/atom
E above lowest polymorph = 0.037 eV per atom

Record 4
Below is ScTaBe2 after structural relaxation, with properties calculated at the PBE level.

```
data_ScTaBe2
_chemical_formula_sum 'Sc1 Ta1 Be2'
_symmetry_space_group_name_H-M 'P 1'
_symmetry_Int_Tables_number 1
_cell_length_a 4.973
_cell_length_b 4.973
_cell_length_c 4.973
_cell_angle_alpha 136.43
_cell_angle_beta 136.43
_cell_angle_gamma 63.32
loop_
_symmetry_equiv_pos_as_xyz
'x,y,z'
loop_
_atom_site_label
_atom_site_type_symbol
_atom_site_fract_x
_atom_site_fract_y
_atom_site_fract_z
Sc1 Sc 0.500 0.500 0.000
Be1 Be 0.000 0.000 0.000
Be2 Be 0.250 0.750 0.500
Ta1 Ta 0.750 0.250 0.500
```

energy relative to the elements = 0.257 eV/atom
E above lowest polymorph = 0.260 eV per atom

Record 5
Below is Pr2ZnCd3 after structural relaxation, with properties calculated at the PBE level.

```
data_Pr2ZnCd3
_chemical_formula_sum 'Pr2 Zn1 Cd3'
_symmetry_space_group_name_H-M 'P 1'
_symmetry_Int_Tables_number 1
_cell_length_a 4.997
_cell_length_b 3.661
_cell_length_c 9.220
_cell_angle_alpha 101.45
_cell_angle_beta 105.72
_cell_angle_gamma 90.00
loop_
_symmetry_equiv_pos_as_xyz
'x,y,z'
loop_
_atom_site_label
_atom_site_type_symbol
_atom_site_fract_x
_atom_site_fract_y
_atom_site_fract_z
Pr1 Pr 0.121 0.121 0.242
Pr2 Pr 0.888 0.388 0.776
Zn1 Zn 0.441 0.941 0.882
Cd1 Cd 0.713 0.713 0.427
Cd2 Cd 0.548 0.548 0.096
Cd3 Cd 0.289 0.789 0.578
```

energy relative to the elements = -0.243 eV/atom
E above lowest polymorph = 0.084 eV per atom

Record 6
Below is Sr2SnTe3 after structural relaxation, with properties calculated at the PBE level.

```
data_Sr2SnTe3
_chemical_formula_sum 'Sr2 Sn1 Te3'
_symmetry_space_group_name_H-M 'P 1'
_symmetry_Int_Tables_number 1
_cell_length_a 4.690
_cell_length_b 6.609
_cell_length_c 8.140
_cell_angle_alpha 113.95
_cell_angle_beta 106.74
_cell_angle_gamma 90.00
loop_
_symmetry_equiv_pos_as_xyz
'x,y,z'
loop_
_atom_site_label
_atom_site_type_symbol
_atom_site_fract_x
_atom_site_fract_y
_atom_site_fract_z
Sr1 Sr 0.667 0.167 0.334
Sr2 Sr 0.333 0.833 0.666
Sn1 Sn 0.000 0.500 0.000
Te1 Te 0.339 0.339 0.678
Te2 Te 0.000 0.000 0.000
Te3 Te 0.661 0.661 0.322
```

formation energy from raw total energies = -7.4 eV per formula unit

Record 7
Below is TlSe2Br after structural relaxation, with properties calculated at the PBE level.

```
data_TlSe2Br
_chemical_formula_sum 'Tl1 Se2 Br1'
_symmetry_space_group_name_H-M 'P 1'
_symmetry_Int_Tables_number 1
_cell_length_a 4.049
_cell_length_b 4.299
_cell_length_c 8.169
_cell_angle_alpha 87.45
_cell_angle_beta 90.00
_cell_angle_gamma 90.00
loop_
_symmetry_equiv_pos_as_xyz
'x,y,z'
loop_
_atom_site_label
_atom_site_type_symbol
_atom_site_fract_x
_atom_site_fract_y
_atom_site_fract_z
Br1 Br 0.500 0.824 0.702
Se1 Se 0.000 0.042 0.085
Se2 Se 0.500 0.298 0.164
Tl1 Tl 0.000 0.335 0.549
```

E above lowest polymorph = 0.003 eV per atom
formation energy from raw total energies = -1.1 eV per formula unit

Record 8
Below is TlRe2Ag after structural relaxation, with properties calculated at the PBE level.

```
data_TlRe2Ag
_chemical_formula_sum 'Tl1 Re2 Ag1'
_symmetry_space_group_name_H-M 'P 1'
_symmetry_Int_Tables_number 1
_cell_length_a 5.406
_cell_length_b 5.406
_cell_length_c 5.406
_cell_angle_alpha 138.03
_cell_angle_beta 138.03
_cell_angle_gamma 60.86
loop_
_symmetry_equiv_pos_as_xyz
'x,y,z'
loop_
_atom_site_label
_atom_site_type_symbol
_atom_site_fract_x
_atom_site_fract_y
_atom_site_fract_z
Re1 Re 0.000 0.000 0.000
Re2 Re 0.500 0.500 0.000
Tl1 Tl 0.250 0.750 0.500
Ag1 Ag 0.750 0.250 0.500
```

energy relative to the elements = 1.076 eV/atom
E above lowest polymorph = 0.613 eV per atom

Record 9
Below is TiP after structural relaxation, with properties calculated at the PBE level.

```
data_TiP
_chemical_formula_sum 'Ti6 P6'
_symmetry_space_group_name_H-M 'P 1'
_symmetry_Int_Tables_number 1
_cell_length_a 3.520
_cell_length_b 11.206
_cell_length_c 6.382
_cell_angle_alpha 90.00
_cell_angle_beta 90.00
_cell_angle_gamma 90.00
loop_
_symmetry_equiv_pos_as_xyz
'x,y,z'
loop_
_atom_site_label
_atom_site_type_symbol
_atom_site_fract_x
_atom_site_fract_y
_atom_site_fract_z
Ti1 Ti 0.000 0.293 0.899
Ti2 Ti 0.000 0.707 0.899
Ti3 Ti 0.000 0.793 0.399
Ti4 Ti 0.000 0.207 0.399
Ti5 Ti 0.500 0.000 0.560
Ti6 Ti 0.500 0.500 0.060
P1 P 0.500 0.794 0.672
P2 P 0.500 0.206 0.672
P3 P 0.500 0.294 0.172
P4 P 0.500 0.706 0.172
P5 P 0.000 0.000 0.300
P6 P 0.000 0.500 0.800
```

energy relative to the elements = -0.702 eV/atom

Record 10
Below is K2Ho2ZrSe6 after structural relaxation, with properties calculated at the PBE level.

```
data_K2Ho2ZrSe6
_chemical_formula_sum 'K2 Ho2 Zr1 Se6'
_symmetry_space_group_name_H-M 'P 1'
_symmetry_Int_Tables_number 1
_cell_length_a 7.023
_cell_length_b 7.023
_cell_length_c 8.223
_cell_angle_alpha 98.43
_cell_angle_beta 98.43
_cell_angle_gamma 119.67
loop_
_symmetry_equiv_pos_as_xyz
'x,y,z'
loop_
_atom_site_label
_atom_site_type_symbol
_atom_site_fract_x
_atom_site_fract_y
_atom_site_fract_z
K1 K 0.830 0.170 0.000
K2 K 0.170 0.830 0.000
Ho1 Ho 0.333 0.667 0.500
Ho2 Ho 0.667 0.333 0.500
Zr1 Zr 0.000 0.000 0.500
Se1 Se 0.748 0.748 0.698
Se2 Se 0.069 0.388 0.700
Se3 Se 0.252 0.252 0.302
Se4 Se 0.388 0.069 0.700
Se5 Se 0.931 0.612 0.300
Se6 Se 0.612 0.931 0.300
```

formation energy from raw total energies = -18.1 eV per formula unit

Record 11
Below is CdSbSe2 after structural relaxation, with properties calculated at the PBE level.

```
data_CdSbSe2
_chemical_formula_sum 'Cd2 Sb2 Se4'
_symmetry_space_group_name_H-M 'P 1'
_symmetry_Int_Tables_number 1
_cell_length_a 5.850
_cell_length_b 5.850
_cell_length_c 8.599
_cell_angle_alpha 70.12
_cell_angle_beta 70.12
_cell_angle_gamma 90.00
loop_
_symmetry_equiv_pos_as_xyz
'x,y,z'
loop_
_atom_site_label
_atom_site_type_symbol
_atom_site_fract_x
_atom_site_fract_y
_atom_site_fract_z
Sb1 Sb 0.000 0.000 0.000
Sb2 Sb 0.750 0.250 0.500
Se1 Se 0.618 0.125 0.250
Se2 Se 0.132 0.625 0.250
Se3 Se 0.375 0.382 0.750
Se4 Se 0.875 0.868 0.750
Cd1 Cd 0.500 0.500 0.000
Cd2 Cd 0.250 0.750 0.500
```

E above lowest polymorph = 0.127 eV per atom
formation energy from raw total energies = -0.6 eV per formula unit

Record 12
Below is TiPHO2 after structural relaxation, with properties calculated at the PBE level.

```
data_TiPHO2
_chemical_formula_sum 'Ti1 P1 H1 O2'
_symmetry_space_group_name_H-M 'P 1'
_symmetry_Int_Tables_number 1
_cell_length_a 3.336
_cell_length_b 5.164
_cell_length_c 3.336
_cell_angle_alpha 90.00
_cell_angle_beta 90.00
_cell_angle_gamma 90.00
loop_
_symmetry_equiv_pos_as_xyz
'x,y,z'
loop_
_atom_site_label
_atom_site_type_symbol
_atom_site_fract_x
_atom_site_fract_y
_atom_site_fract_z
P1 P 0.000 0.000 0.000
H1 H 0.500 0.500 0.500
O1 O 0.000 0.000 0.500
O2 O 0.500 0.000 0.000
Ti1 Ti 0.000 0.500 0.000
```

E above lowest polymorph = 0.346 eV per atom

Across the entries above, total magnetization takes the values 0.000; 0.000; 0.000; 0.000; 0.000; 0.000; 0.000; 0.000; 0.000; 0.000; 0.000; 0.000 μB per atom, respectively.
Across the entries above, electronic total energy takes the values -6.51; -2.39; -5.34; -6.15; -2.51; -4.03; -3.02; -6.45; -7.35; -5.36; -3.14; -5.61 eV/atom, respectively.